[1]
This record from Alexandria describes a geometry-optimized ScBe2P structure. The functional is PBE.

Structure (POSCAR):
```
ScBe2P
1.0
3.671 0.009 0.000
-0.009 3.671 0.000
0.000 0.000 3.690
Sc P Be
1 1 2
direct
0.000 0.500 0.500
0.500 0.000 0.500
0.000 0.000 0.000
0.500 0.500 0.000
```

Output
The crystal system is tetragonal. The density of states at the Fermi level is 1.74 states/eV/cell. As for the calculated formation energy: -0.27 eV per atom.

[2]
This record from Alexandria describes a geometry-optimized ScBeP2 structure. The functional is PBE.

Structure (POSCAR):
```
ScBeP2
1.0
-2.730 -2.450 2.758
-2.520 -1.777 -3.399
4.430 -0.257 1.171
Sc P Be
1 2 1
direct
0.750 0.250 0.500
0.048 0.048 0.000
0.452 0.452 0.000
0.250 0.750 0.500
```

Output
The crystal system is orthorhombic. The density of states at the Fermi level is 1.62 states/eV/cell. As for the calculated formation energy: -0.36 eV per atom.

| no. | M_tot (μB/f.u.) |
| --- | --- |
| 1 | 0.00 |
| 2 | 0.00 |